# 1
# PBE-GGA CrCdMo2, relaxed
# Raw total energy = -114.1 eV/cell
# N(E_F) = 0.8683 states/eV per atom
# Calculated formation energy = 353 kJ/mol of formula units
data_CrCdMo2
_space_group_name_H-M_alt 'I -4 2 d'
_space_group_IT_number 122
_space_group_name_Hall 'I -4 2bw'
_cell_length_a 3.7831
_cell_length_b 3.7831
_cell_length_c 19.7927
_cell_angle_alpha 90.00
_cell_angle_beta 90.00
_cell_angle_gamma 90.00
loop_
_atom_site_label
_atom_site_type_symbol
_atom_site_fract_x
_atom_site_fract_y
_atom_site_fract_z
_atom_site_occupancy
Cr1 Cr 0.0000 0.0000 0.0000 1
Cd1 Cd 0.0000 0.0000 0.5000 1
Mo1 Mo 0.2329 0.2500 0.1250 1

---

# 2
# PBE-GGA BeIn3Pd, relaxed
# Raw total energy = -15.4 eV/cell
# N(E_F) = 0.5955 states/eV per atom
# Calculated formation energy = 169 kJ/mol of formula units
# Excess energy over the best structure of this formula in the dataset = 0.0 kJ per mole of atoms
data_BeIn3Pd
_space_group_name_H-M_alt 'P m -3 m'
_space_group_IT_number 221
_space_group_name_Hall '-P 4 2 3'
_cell_length_a 4.7911
_cell_length_b 4.7911
_cell_length_c 4.7911
_cell_angle_alpha 90.00
_cell_angle_beta 90.00
_cell_angle_gamma 90.00
loop_
_atom_site_label
_atom_site_type_symbol
_atom_site_fract_x
_atom_site_fract_y
_atom_site_fract_z
_atom_site_occupancy
Be1 Be 0.0000 0.0000 0.0000 1
In1 In 0.0000 0.0000 0.5000 1
Pd1 Pd 0.5000 0.5000 0.5000 1

---

# 3
# PBE-GGA SrBi4Ru2, relaxed
# Raw total energy = -59.4 eV/cell
# N(E_F) = 1.0674 states/eV per atom
# Calculated formation energy = 584 kJ/mol of formula units
data_SrBi4Ru2
_space_group_name_H-M_alt 'I 4/m m m'
_space_group_IT_number 139
_space_group_name_Hall '-I 4 2'
_cell_length_a 5.8029
_cell_length_b 5.8029
_cell_length_c 14.1816
_cell_angle_alpha 90.00
_cell_angle_beta 90.00
_cell_angle_gamma 90.00
loop_
_atom_site_label
_atom_site_type_symbol
_atom_site_fract_x
_atom_site_fract_y
_atom_site_fract_z
_atom_site_occupancy
Sr1 Sr 0.0000 0.0000 0.0000 1
Bi1 Bi 0.0000 0.0000 0.2358 1
Bi2 Bi 0.0000 0.5000 0.0000 1
Ru1 Ru 0.0000 0.0000 0.4154 1

---

# 4
# PBE-GGA Tl3Cd3Hg5, relaxed
# Raw total energy = -10.5 eV/cell
# N(E_F) = 0.3331 states/eV per atom
# Calculated formation energy = 79 kJ/mol of formula units
# Excess energy over the best structure of this formula in the dataset = 4.6 kJ per mole of atoms
data_Tl3Cd3Hg5
_space_group_name_H-M_alt 'P -6 2 m'
_space_group_IT_number 189
_space_group_name_Hall 'P -6 -2'
_cell_length_a 10.9043
_cell_length_b 10.9043
_cell_length_c 3.1421
_cell_angle_alpha 90.00
_cell_angle_beta 90.00
_cell_angle_gamma 120.00
loop_
_atom_site_label
_atom_site_type_symbol
_atom_site_fract_x
_atom_site_fract_y
_atom_site_fract_z
_atom_site_occupancy
Tl1 Tl 0.0000 0.4257 0.0000 1
Cd1 Cd 0.0000 0.6829 0.5000 1
Hg1 Hg 0.0000 0.1646 0.5000 1
Hg2 Hg 0.3333 0.6667 0.5000 1

---

The highest N(E_F) belongs to which entry?
SrBi4Ru2